First-principles (GGA+U) data for crystalline Li2TiFeP3O12 at its relaxed geometry, as listed in the Alexandria database.

Structure (POSCAR):
```
Li2TiFeP3O12
1.0
8.652 0.000 0.000
0.000 8.740 0.000
0.000 0.000 12.144
P O Fe Li Ti
12 48 4 8 4
Direct
0.211 0.755 0.499
0.357 0.394 0.852
0.789 0.245 0.999
0.852 0.392 0.645
0.352 0.108 0.145
0.148 0.608 0.145
0.289 0.255 0.499
0.648 0.892 0.645
0.643 0.606 0.352
0.857 0.106 0.352
0.143 0.894 0.852
0.711 0.745 0.999
0.579 0.765 0.322
0.186 0.145 0.568
0.196 0.367 0.431
0.327 0.604 0.156
0.407 0.275 0.175
0.599 0.832 0.924
0.087 0.940 0.970
0.696 0.133 0.931
0.673 0.396 0.656
0.413 0.440 0.970
0.393 0.341 0.586
0.921 0.265 0.322
0.574 0.007 0.727
0.079 0.735 0.822
0.804 0.633 0.931
0.100 0.567 0.028
0.576 0.483 0.272
0.426 0.993 0.227
0.901 0.332 0.924
0.600 0.933 0.528
0.900 0.433 0.528
0.421 0.235 0.822
0.680 0.107 0.346
0.093 0.775 0.175
0.424 0.517 0.772
0.400 0.067 0.028
0.173 0.104 0.156
0.107 0.841 0.586
0.304 0.867 0.431
0.926 0.507 0.727
0.686 0.355 0.068
0.607 0.659 0.086
0.907 0.225 0.675
0.893 0.159 0.086
0.924 0.983 0.272
0.099 0.668 0.424
0.913 0.060 0.470
0.593 0.725 0.675
0.180 0.393 0.846
0.587 0.560 0.470
0.074 0.493 0.227
0.076 0.017 0.772
0.820 0.607 0.346
0.314 0.645 0.568
0.401 0.168 0.424
0.827 0.896 0.656
0.814 0.855 0.068
0.320 0.893 0.846
0.998 0.536 0.888
0.502 0.036 0.888
0.002 0.464 0.388
0.498 0.964 0.388
0.536 0.217 0.683
0.464 0.783 0.183
0.467 0.725 0.817
0.033 0.225 0.817
0.967 0.775 0.317
0.964 0.717 0.683
0.533 0.275 0.317
0.036 0.283 0.183
0.004 0.038 0.611
0.504 0.462 0.111
0.496 0.538 0.611
0.996 0.962 0.111
```

The value obtained for the volume is 12.1 Å³ per atom. As for the total energy: -7.2452 eV/atom. The calculation puts the total magnetization at 20.24 Bohr magnetons per cell. The crystal system is orthorhombic. The space group is No. 33.